A relaxed structure of EuScAu2, computed with PBE.

Computed properties:
Volume: 90.9 Å³/cell
ΔE to the lowest computed polymorph: 0 meV per atom
M_tot: 7.19 μB/f.u.
Energy relative to the elements: -773 meV/atom
Electronic total energy: -6.56 eV/atom

```
data_EuScAu2
_symmetry_space_group_name_H-M 'P 4/m m m'
_symmetry_Int_Tables_number 123
_symmetry_space_group_name_Hall '-P 4 2'
_cell_length_a 3.529
_cell_length_b 3.529
_cell_length_c 7.297
_cell_angle_alpha 90.00
_cell_angle_beta 90.00
_cell_angle_gamma 90.00
loop_
_atom_site_label
_atom_site_type_symbol
_atom_site_fract_x
_atom_site_fract_y
_atom_site_fract_z
Eu1 Eu 0.000 0.000 0.000
Sc1 Sc 0.000 0.000 0.500
Au1 Au 0.500 0.500 0.292
```